w | Here is a relaxed ZnInSe3 crystal from Alexandria via LeMat-Bulk. Energies are from GGA-PBEsol.

Properties
Magnetic moment ... 0.0 μB per formula unit
Crystal system ... cubic

abc: 5.1869 5.1869 5.1869
angles: 90.00 90.00 90.00
Last column: nearest neighbours and their distance in Å.
Sites, in units of the cell vectors:
Zn (0.0000, 0.0000, 0.0000)  12 Se 3.67
In (0.5000, 0.5000, 0.5000)  6 Se 2.59
Se (0.0000, 0.5000, 0.5000)  2 In 2.59
Se (0.5000, 0.0000, 0.5000)  2 In 2.59
Se (0.5000, 0.5000, 0.0000)  2 In 2.59



x | Here is a relaxed ZnInSe3 crystal from Alexandria via LeMat-Bulk. Energies are from GGA-PBEsol.

Properties
Magnetic moment ... 0.0 μB per formula unit
Crystal system ... cubic

abc: 4.8923 4.8923 4.8923
angles: 90.00 90.00 90.00
Last column: nearest neighbours and their distance in Å.
Sites, in units of the cell vectors:
Zn (0.0000, 0.0000, 0.0000)  6 Se 2.45
In (0.5000, 0.5000, 0.5000)  12 Se 3.46
Se (0.0000, 0.0000, 0.5000)  2 Zn 2.45
Se (0.0000, 0.5000, 0.0000)  2 Zn 2.45
Se (0.5000, 0.0000, 0.0000)  2 Zn 2.45



Q: What are the energies relative to the best structure? A: w 37.2; x 0.0, in kJ/mol of atoms.



w | Here is a relaxed Zr2InSe crystal from Alexandria via LeMat-Bulk. Energies are from GGA-PBEsol.

Properties
Magnetic moment ... 0.0 μB per formula unit
Crystal system ... tetragonal

abc: 3.5404 3.5404 7.2454
angles: 90.00 90.00 90.00
Last column: nearest neighbours and their distance in Å.
Sites, in units of the cell vectors:
Zr (0.0000, 0.0000, 0.0000)  4 Se 2.69
Zr (0.5000, 0.5000, 0.2622)  1 Se 2.88, 4 In 3.02, 4 Zr 3.14
In (0.0000, 0.0000, 0.4956)  4 Zr 3.02
Se (0.5000, 0.5000, 0.8645)  5 Zr 2.69-2.88



x | Here is a relaxed Zr2InSe crystal from Alexandria via LeMat-Bulk. Energies are from GGA-PBEsol.

Properties
Magnetic moment ... 0.0 μB per formula unit
Crystal system ... tetragonal

abc: 3.2295 3.2295 7.6248
angles: 90.00 90.00 90.00
Last column: nearest neighbours and their distance in Å.
Sites, in units of the cell vectors:
Zr (0.0000, 0.0000, 0.2166)  4 Se 2.82, 4 In 3.14
Zr (0.0000, 0.0000, 0.7834)  4 Se 2.82, 4 In 3.14
In (0.5000, 0.5000, 0.5000)  8 Zr 3.14, 4 In 3.23
Se (0.5000, 0.5000, 0.0000)  8 Zr 2.82



Q: What are the energies relative to the best structure? A: w 15.0; x 0.0, in kJ/mol of atoms.